1.
{"formula": "SrNpCr2O6", "functional": "GGA+U", "state": "optimized geometry", "n_ef_per_ev_cell": 6.7, "spacegroup": "R3, No. 146", "volume_a3_per_cell": 123.7, "cell": [[2.785, 1.608, 4.603], [-2.785, 1.608, 4.603], [0.000, -3.216, 4.603]], "species": ["Sr", "Np", "Cr", "Cr", "O", "O", "O", "O", "O", "O"], "fractional_positions": [[0.000, 0.000, 0.000], [0.476, 0.476, 0.476], [0.257, 0.257, 0.257], [0.762, 0.762, 0.762], [0.042, 0.578, 0.447], [0.113, 0.514, 0.913], [0.447, 0.042, 0.578], [0.514, 0.913, 0.113], [0.578, 0.447, 0.042], [0.913, 0.113, 0.514]]}

***

2.
{"formula": "TbNpCr2O8", "functional": "GGA+U", "state": "optimized geometry", "n_ef_per_ev_cell": 4.1, "spacegroup": "Cmmm, No. 65", "volume_a3_per_cell": 152.4, "cell": [[3.357, -3.411, 0.000], [3.357, 3.411, 0.000], [0.000, 0.000, 6.655]], "species": ["Tb", "Np", "Cr", "Cr", "O", "O", "O", "O", "O", "O", "O", "O"], "fractional_positions": [[0.000, 0.000, 0.000], [0.000, 0.000, 0.500], [0.500, 0.500, 0.239], [0.500, 0.500, 0.761], [0.202, 0.202, 0.272], [0.202, 0.202, 0.728], [0.301, 0.699, 0.500], [0.325, 0.675, 0.000], [0.675, 0.325, 0.000], [0.699, 0.301, 0.500], [0.798, 0.798, 0.272], [0.798, 0.798, 0.728]]}

***

3.
{"formula": "TbNpCrO6", "functional": "GGA+U", "state": "optimized geometry", "n_ef_per_ev_cell": 1.1, "spacegroup": "P-31c, No. 163", "volume_a3_per_cell": 234.8, "cell": [[5.593, 0.000, 0.000], [-2.796, 4.843, 0.000], [0.000, 0.000, 8.666]], "species": ["Tb", "Tb", "Np", "Np", "Cr", "Cr", "O", "O", "O", "O", "O", "O", "O", "O", "O", "O", "O", "O"], "fractional_positions": [[0.333, 0.667, 0.250], [0.667, 0.333, 0.750], [0.333, 0.667, 0.750], [0.667, 0.333, 0.250], [0.000, 0.000, 0.000], [0.000, 0.000, 0.500], [0.030, 0.337, 0.624], [0.030, 0.692, 0.876], [0.308, 0.337, 0.876], [0.308, 0.970, 0.624], [0.337, 0.030, 0.124], [0.337, 0.308, 0.376], [0.663, 0.692, 0.624], [0.663, 0.970, 0.876], [0.692, 0.030, 0.376], [0.692, 0.663, 0.124], [0.970, 0.308, 0.124], [0.970, 0.663, 0.376]]}

***

4.
{"formula": "NpCrTcO6", "functional": "GGA+U", "state": "optimized geometry", "n_ef_per_ev_cell": 15.6, "spacegroup": "P-31c, No. 163", "volume_a3_per_cell": 212.8, "cell": [[5.263, 0.000, 0.000], [-2.632, 4.558, 0.000], [0.000, 0.000, 8.872]], "species": ["Np", "Np", "Cr", "Cr", "Tc", "Tc", "O", "O", "O", "O", "O", "O", "O", "O", "O", "O", "O", "O"], "fractional_positions": [[0.333, 0.667, 0.250], [0.667, 0.333, 0.750], [0.333, 0.667, 0.750], [0.667, 0.333, 0.250], [0.000, 0.000, 0.000], [0.000, 0.000, 0.500], [0.014, 0.334, 0.626], [0.014, 0.681, 0.874], [0.319, 0.334, 0.874], [0.319, 0.986, 0.626], [0.334, 0.014, 0.126], [0.334, 0.319, 0.374], [0.666, 0.681, 0.626], [0.666, 0.986, 0.874], [0.681, 0.014, 0.374], [0.681, 0.666, 0.126], [0.986, 0.319, 0.126], [0.986, 0.666, 0.374]]}

***

5.
{"formula": "NpTl2CrO6", "functional": "GGA+U", "state": "optimized geometry", "n_ef_per_ev_cell": 4.0, "spacegroup": "I4/mmm, No. 139", "volume_a3_per_cell": 140.0, "cell": [[-2.915, 2.915, 4.119], [2.915, -2.915, 4.119], [2.915, 2.915, -4.119]], "species": ["Np", "Tl", "Tl", "Cr", "O", "O", "O", "O", "O", "O"], "fractional_positions": [[0.000, 0.000, 0.000], [0.250, 0.750, 0.500], [0.750, 0.250, 0.500], [0.500, 0.500, 0.000], [0.251, 0.251, 0.000], [0.251, 0.251, 0.503], [0.251, 0.749, 0.000], [0.749, 0.251, 0.000], [0.749, 0.749, 0.000], [0.749, 0.749, 0.497]]}

***

6.
{"formula": "NpTlCr2O8", "functional": "GGA+U", "state": "optimized geometry", "n_ef_per_ev_cell": 7.4, "spacegroup": "P-3m1, No. 164", "volume_a3_per_cell": 227.2, "cell": [[5.778, 0.000, 0.000], [-2.889, 5.004, 0.000], [0.000, 0.000, 7.860]], "species": ["Np", "Tl", "Cr", "Cr", "O", "O", "O", "O", "O", "O", "O", "O"], "fractional_positions": [[0.000, 0.000, 0.000], [0.000, 0.000, 0.500], [0.333, 0.667, 0.758], [0.667, 0.333, 0.242], [0.166, 0.332, 0.843], [0.166, 0.834, 0.843], [0.332, 0.166, 0.157], [0.333, 0.667, 0.550], [0.667, 0.333, 0.450], [0.668, 0.834, 0.843], [0.834, 0.166, 0.157], [0.834, 0.668, 0.157]]}

***

7.
{"formula": "Tm2NpCrO8", "functional": "GGA+U", "state": "optimized geometry", "n_ef_per_ev_cell": 2.7, "spacegroup": "P2/m, No. 10", "volume_a3_per_cell": 162.4, "cell": [[4.950, 0.000, 0.000], [0.000, 6.629, 0.000], [-0.186, 0.000, 4.948]], "species": ["Tm", "Tm", "Np", "Cr", "O", "O", "O", "O", "O", "O", "O", "O"], "fractional_positions": [[0.000, 0.235, 0.000], [0.000, 0.765, 0.000], [0.500, 0.500, 0.500], [0.500, 0.000, 0.500], [0.210, 0.500, 0.208], [0.212, 0.000, 0.211], [0.320, 0.257, 0.679], [0.320, 0.743, 0.679], [0.680, 0.257, 0.321], [0.680, 0.743, 0.321], [0.788, 0.000, 0.789], [0.790, 0.500, 0.792]]}

***

8.
{"formula": "NpVCrO6", "functional": "GGA+U", "state": "optimized geometry", "n_ef_per_ev_cell": 3.5, "spacegroup": "P-31c, No. 163", "volume_a3_per_cell": 210.6, "cell": [[5.244, 0.000, 0.000], [-2.622, 4.541, 0.000], [0.000, 0.000, 8.844]], "species": ["Np", "Np", "V", "V", "Cr", "Cr", "O", "O", "O", "O", "O", "O", "O", "O", "O", "O", "O", "O"], "fractional_positions": [[0.333, 0.667, 0.250], [0.667, 0.333, 0.750], [0.333, 0.667, 0.750], [0.667, 0.333, 0.250], [0.000, 0.000, 0.000], [0.000, 0.000, 0.500], [0.008, 0.335, 0.628], [0.008, 0.673, 0.872], [0.327, 0.335, 0.872], [0.327, 0.992, 0.628], [0.335, 0.008, 0.128], [0.335, 0.327, 0.372], [0.665, 0.673, 0.628], [0.665, 0.992, 0.872], [0.673, 0.008, 0.372], [0.673, 0.665, 0.128], [0.992, 0.327, 0.128], [0.992, 0.665, 0.372]]}

***

Number 1: raw total energy -83.5 eV per cell. Number 2: raw total energy -101.2 eV per cell. Number 3: raw total energy -156.0 eV per cell. Number 4: raw total energy -157.1 eV per cell. Number 5: raw total energy -72.7 eV per cell. Number 6: raw total energy -90.5 eV per cell. Number 7: raw total energy -102.9 eV per cell. Number 8: raw total energy -156.1 eV per cell.